<A>
Material: CaGd2
Method: DFT, PBE-GGA
State: relaxed

**N(E_F)**: 10.66 states/eV per cell
**Size of the total moment**: 14.90 μB per formula unit

Structure (POSCAR):
```
CaGd2
1.0
6.769 0.000 0.000
3.384 5.862 0.000
3.384 1.954 5.527
Gd Ca
4 2
Cartesian
8.461 4.885 3.454 Gd
6.769 1.954 3.454 Gd
6.769 3.908 0.691 Gd
5.077 4.885 3.454 Gd
0.000 0.000 0.000 Ca
3.384 1.954 1.382 Ca
```



<B>
Material: CaGd2
Method: DFT, PBE-GGA
State: relaxed

**N(E_F)**: 4.59 states/eV per cell
**Size of the total moment**: 14.96 μB per formula unit

Structure (POSCAR):
```
CaGd2
1.0
-1.176 3.480 -0.089
-3.376 -1.163 -0.865
0.459 -1.577 8.133
Gd Ca
2 1
Cartesian
-2.921 1.010 2.242 Gd
-1.172 -0.270 4.938 Gd
0.000 0.000 0.000 Ca
```



<B> (106 meV per atom below the next structure)



<A>
Material: Ca2Gd
Method: DFT, PBE-GGA
State: relaxed

**N(E_F)**: 6.34 states/eV per cell
**Size of the total moment**: 8.30 μB per formula unit

Structure (POSCAR):
```
Ca2Gd
1.0
-2.821 -2.335 -0.870
2.476 -2.774 -0.586
-0.428 0.368 8.542
Ca Gd
2 1
Cartesian
-0.407 -1.484 5.302 Ca
-0.365 -3.257 1.784 Ca
0.000 0.000 0.000 Gd
```



<B>
Material: Ca2Gd
Method: DFT, PBE-GGA
State: relaxed

**N(E_F)**: 19.26 states/eV per cell
**Size of the total moment**: 8.19 μB per formula unit

Structure (POSCAR):
```
Ca2Gd
1.0
-5.444 0.455 4.356
-2.230 -5.676 3.409
0.988 -0.547 6.895
Gd Ca
2 4
Cartesian
-1.672 -1.442 3.665 Gd
0.000 0.000 0.000 Gd
-4.673 -3.332 5.715 Ca
-4.179 -3.605 9.162 Ca
-3.064 -0.767 7.458 Ca
-1.457 -3.833 6.984 Ca
```



<A> (199 meV per atom below the next structure)



<A>
Material: CaGd2Ge
Method: DFT, PBE-GGA
State: relaxed

**N(E_F)**: 5.22 states/eV per cell
**Size of the total moment**: 15.23 μB per formula unit

Structure (POSCAR):
```
CaGd2Ge
1.0
-2.603 3.678 1.376
-3.869 -2.798 0.158
0.940 -1.043 4.567
Gd Ca Ge
2 1 1
Cartesian
-1.935 -1.399 0.079 Gd
0.470 -0.521 2.283 Gd
-2.766 -0.082 3.050 Ca
-1.302 1.839 0.688 Ge
```



<B>
Material: CaGd2Ge
Method: DFT, PBE-GGA
State: relaxed

**N(E_F)**: 5.26 states/eV per cell
**Size of the total moment**: 14.70 μB per formula unit

Structure (POSCAR):
```
CaGd2Ge
1.0
-0.188 -2.438 -2.860
3.297 1.267 -1.296
4.192 -5.977 4.820
Ca Ge Gd
1 1 2
Cartesian
3.651 -3.574 0.332 Ca
1.554 -0.585 -2.078 Ge
0.738 -1.052 0.848 Gd
3.455 -4.925 3.971 Gd
```



<C>
Material: CaGd2Ge
Method: DFT, PBE-GGA
State: relaxed

**N(E_F)**: 4.45 states/eV per cell
**Size of the total moment**: 15.17 μB per formula unit

Structure (POSCAR):
```
CaGd2Ge
1.0
3.964 0.000 0.000
1.982 3.433 0.000
1.982 1.144 10.608
Gd Ca Ge
2 1 1
Cartesian
1.982 1.144 6.993 Gd
5.945 3.433 3.615 Gd
0.000 0.000 0.000 Ca
3.964 2.288 5.304 Ge
```



<B> (19 meV per atom below the next structure)



<A>
Material: CaGdHg
Method: DFT, PBE-GGA
State: relaxed

**N(E_F)**: 4.89 states/eV per cell
**Size of the total moment**: 7.64 μB per formula unit

Structure (POSCAR):
```
CaGdHg
1.0
-4.782 1.969 0.535
-4.137 -3.147 -0.131
-2.714 -0.907 4.340
Hg Ca Gd
1 1 1
Cartesian
-2.908 -0.521 1.186 Hg
-5.816 -1.042 2.372 Ca
0.000 0.000 0.000 Gd
```



<B>
Material: CaGdHg
Method: DFT, PBE-GGA
State: relaxed

**N(E_F)**: 4.55 states/eV per cell
**Size of the total moment**: 7.63 μB per formula unit

Structure (POSCAR):
```
CaGdHg
1.0
-1.171 0.626 3.478
0.433 -3.611 0.796
6.625 2.660 -0.241
Hg Ca Gd
1 1 1
Cartesian
1.766 -1.094 2.784 Hg
0.283 0.053 0.086 Ca
3.838 0.716 1.163 Gd
```



<C>
Material: CaGdHg
Method: DFT, PBE-GGA
State: relaxed

**N(E_F)**: 3.78 states/eV per cell
**Size of the total moment**: 7.35 μB per formula unit

Structure (POSCAR):
```
CaGdHg
1.0
3.843 0.000 0.000
0.000 5.221 0.000
0.000 -2.611 4.522
Ca Gd Hg
1 1 1
Cartesian
1.500 0.000 3.014 Ca
3.557 0.000 0.000 Gd
2.628 2.611 1.507 Hg
```



<B> (121 meV per atom below the next structure)



<A>
Material: Ca2GdI
Method: DFT, PBE-GGA
State: relaxed

**N(E_F)**: 5.67 states/eV per cell
**Size of the total moment**: 8.07 μB per formula unit

Structure (POSCAR):
```
Ca2GdI
1.0
3.809 0.000 0.000
0.000 3.809 0.000
0.000 0.000 9.954
Ca Gd I
2 1 1
Cartesian
0.000 0.000 2.628 Ca
0.000 0.000 7.326 Ca
1.905 1.905 0.000 Gd
1.905 1.905 4.977 I
```



<B>
Material: Ca2GdI
Method: DFT, PBE-GGA
State: relaxed

**N(E_F)**: 6.45 states/eV per cell
**Size of the total moment**: 7.72 μB per formula unit

Structure (POSCAR):
```
Ca2GdI
1.0
-3.041 2.332 0.213
-1.339 1.100 3.425
5.726 10.536 1.004
Gd I Ca
1 1 2
Cartesian
0.000 0.000 0.000 Gd
0.673 6.984 2.321 I
-2.279 6.177 3.577 Ca
3.625 7.791 1.065 Ca
```



<A> (190 meV per atom below the next structure)



<A>
Material: CaGd2In
Method: DFT, PBE-GGA
State: relaxed

**N(E_F)**: 8.59 states/eV per cell
**Size of the total moment**: 15.94 μB per formula unit

Structure (POSCAR):
```
CaGd2In
1.0
3.551 0.000 0.000
1.775 3.075 0.000
1.775 1.025 12.645
Gd In Ca
2 1 1
Cartesian
5.326 3.075 3.193 Gd
1.775 1.025 9.452 Gd
0.000 0.000 0.000 In
3.551 2.050 6.323 Ca
```



<B>
Material: CaGd2In
Method: DFT, PBE-GGA
State: relaxed

**N(E_F)**: 7.36 states/eV per cell
**Size of the total moment**: 15.08 μB per formula unit

Structure (POSCAR):
```
CaGd2In
1.0
-0.020 5.456 -0.919
-4.802 2.715 -0.431
-1.583 3.475 4.005
In Ca Gd
1 1 2
Cartesian
0.000 0.000 0.000 In
-3.203 5.823 1.327 Ca
-4.804 8.735 1.991 Gd
-1.601 2.912 0.664 Gd
```



<B> (341 meV per atom below the next structure)



<A>
Material: CaGd2In
Method: DFT, PBE-GGA
State: relaxed

**N(E_F)**: 5.93 states/eV per cell
**Size of the total moment**: 15.68 μB per formula unit

Structure (POSCAR):
```
CaGd2In
1.0
-0.111 -0.803 -3.535
3.611 0.277 -0.176
0.835 -9.518 2.136
Gd In Ca
2 1 1
Cartesian
0.176 -2.003 0.449 Gd
0.660 -7.515 1.686 Gd
1.750 -0.263 -1.856 In
2.168 -5.022 -0.788 Ca
```



<B>
Material: CaGd2In
Method: DFT, PBE-GGA
State: relaxed

**N(E_F)**: 4.27 states/eV per cell
**Size of the total moment**: 15.08 μB per formula unit

Structure (POSCAR):
```
CaGd2In
1.0
-2.971 3.025 2.455
-3.695 -1.135 -3.073
-1.328 -3.715 2.969
Gd Ca In
2 1 1
Cartesian
-0.664 -1.858 1.485 Gd
-1.847 -0.567 -1.537 Gd
-3.997 -0.913 1.176 Ca
-1.485 1.512 1.228 In
```



<B> (47 meV per atom below the next structure)



<A>
Material: CaGdIr
Method: DFT, PBE-GGA
State: relaxed

**N(E_F)**: 1.62 states/eV per cell
**Size of the total moment**: 7.06 μB per formula unit

Structure (POSCAR):
```
CaGdIr
1.0
-0.992 0.159 3.324
-1.880 -2.889 -0.423
6.677 -2.300 0.289
Gd Ca Ir
1 1 1
Cartesian
3.025 -2.115 1.004 Gd
0.380 -0.266 0.126 Ca
0.400 -2.650 2.060 Ir
```



<B>
Material: CaGdIr
Method: DFT, PBE-GGA
State: relaxed

**N(E_F)**: 0.53 states/eV per cell
**Size of the total moment**: 7.02 μB per formula unit

Structure (POSCAR):
```
CaGdIr
1.0
4.844 0.000 0.000
2.422 4.195 0.000
2.422 1.398 3.955
Ir Gd Ca
1 1 1
Cartesian
2.422 1.398 0.989 Ir
0.000 0.000 0.000 Gd
4.844 2.797 1.978 Ca
```



<B> (31 meV per atom below the next structure)



<A>
Material: CaLa2Gd
Method: DFT, PBE-GGA
State: relaxed

**N(E_F)**: 6.71 states/eV per cell
**Size of the total moment**: 7.45 μB per formula unit

Structure (POSCAR):
```
CaLa2Gd
1.0
-0.409 3.641 -0.632
-2.480 0.201 2.762
7.898 2.091 6.938
Gd Ca La
1 1 2
Cartesian
-1.444 1.921 1.065 Gd
2.505 2.966 4.534 Ca
1.842 0.488 1.618 La
6.056 1.603 5.320 La
```



<B>
Material: CaLa2Gd
Method: DFT, PBE-GGA
State: relaxed

**N(E_F)**: 7.92 states/eV per cell
**Size of the total moment**: 7.75 μB per formula unit

Structure (POSCAR):
```
CaLa2Gd
1.0
-0.876 -0.987 5.789
1.504 -5.227 2.381
4.641 -0.358 3.686
La Gd Ca
2 1 1
Cartesian
3.952 -4.929 8.892 La
1.317 -1.643 2.964 La
0.000 0.000 0.000 Gd
2.635 -3.286 5.928 Ca
```



<C>
Material: CaLa2Gd
Method: DFT, PBE-GGA
State: relaxed

**N(E_F)**: 6.47 states/eV per cell
**Size of the total moment**: 7.24 μB per formula unit

Structure (POSCAR):
```
CaLa2Gd
1.0
-0.464 0.389 3.594
-3.071 -1.167 1.577
4.265 -11.933 3.689
Ca La Gd
1 2 1
Cartesian
0.000 0.000 0.000 Ca
-2.045 -3.975 5.709 La
2.774 -8.736 3.151 La
0.365 -6.355 4.430 Gd
```



<A> (59 meV per atom below the next structure)



<A>
Material: LiCaGd2
Method: DFT, PBE-GGA
State: relaxed

**N(E_F)**: 6.96 states/eV per cell
**Size of the total moment**: 14.94 μB per formula unit

Structure (POSCAR):
```
LiCaGd2
1.0
-3.793 -0.058 1.570
-1.583 -3.559 -3.958
1.417 -4.262 3.265
Li Gd Ca
1 2 1
Cartesian
-1.980 -3.940 0.439 Li
0.708 -2.131 1.633 Gd
-0.792 -1.779 -1.979 Gd
-1.897 -0.029 0.785 Ca
```



<B>
Material: LiCaGd2
Method: DFT, PBE-GGA
State: relaxed

**N(E_F)**: 5.83 states/eV per cell
**Size of the total moment**: 15.04 μB per formula unit

Structure (POSCAR):
```
LiCaGd2
1.0
3.487 0.000 0.000
1.743 3.020 0.000
1.743 1.007 12.090
Li Gd Ca
1 2 1
Cartesian
3.487 2.013 6.045 Li
5.230 3.020 3.372 Gd
1.743 1.007 8.717 Gd
0.000 0.000 0.000 Ca
```



<C>
Material: LiCaGd2
Method: DFT, PBE-GGA
State: relaxed

**N(E_F)**: 7.94 states/eV per cell
**Size of the total moment**: 15.45 μB per formula unit

Structure (POSCAR):
```
LiCaGd2
1.0
-3.078 -1.089 -1.795
2.071 -2.098 -2.278
-0.835 -6.966 5.657
Gd Li Ca
2 1 1
Cartesian
-0.671 -5.596 4.544 Gd
-0.164 -1.370 1.113 Gd
-0.504 -1.593 -2.036 Li
-0.921 -5.076 0.792 Ca
```



<C> (83 meV per atom below the next structure)



<A>
Material: Ca2GdLu
Method: DFT, PBE-GGA
State: relaxed

**N(E_F)**: 7.98 states/eV per cell
**Size of the total moment**: 8.88 μB per formula unit

Structure (POSCAR):
```
Ca2GdLu
1.0
5.444 0.000 0.000
0.000 5.117 0.000
0.000 0.000 5.117
Ca Lu Gd
2 1 1
Cartesian
0.000 2.558 0.000 Ca
0.000 0.000 2.558 Ca
2.722 0.000 0.000 Lu
2.722 2.558 2.558 Gd
```



<B>
Material: Ca2GdLu
Method: DFT, PBE-GGA
State: relaxed

**N(E_F)**: 8.10 states/eV per cell
**Size of the total moment**: 7.67 μB per formula unit

Structure (POSCAR):
```
Ca2GdLu
1.0
5.832 0.000 0.000
2.916 5.050 0.000
2.916 1.683 4.762
Ca Lu Gd
2 1 1
Cartesian
8.748 5.050 3.571 Ca
2.916 1.683 1.190 Ca
0.000 0.000 0.000 Lu
5.832 3.367 2.381 Gd
```



<A> (26 meV per atom below the next structure)



<A>
Material: CaGdMg
Method: DFT, PBE-GGA
State: relaxed

**N(E_F)**: 5.58 states/eV per cell
**Size of the total moment**: 7.42 μB per formula unit

Structure (POSCAR):
```
CaGdMg
1.0
3.429 0.000 0.000
0.000 5.645 0.000
0.000 -2.822 4.888
Ca Mg Gd
1 1 1
Cartesian
3.264 0.000 0.000 Ca
2.421 2.822 1.629 Mg
1.172 0.000 3.259 Gd
```



<B>
Material: CaGdMg
Method: DFT, PBE-GGA
State: relaxed

**N(E_F)**: 4.60 states/eV per cell
**Size of the total moment**: 7.86 μB per formula unit

Structure (POSCAR):
```
CaGdMg
1.0
-2.353 2.750 1.021
-1.988 -2.458 2.037
6.068 1.181 3.877
Mg Gd Ca
1 1 1
Cartesian
-0.836 0.601 3.381 Mg
2.449 0.834 3.397 Gd
0.114 0.039 0.158 Ca
```



<B> (95 meV per atom below the next structure)



<A>
Material: CaGdN
Method: DFT, PBE-GGA
State: relaxed

**N(E_F)**: 1.72 states/eV per cell
**Size of the total moment**: 7.48 μB per formula unit

Structure (POSCAR):
```
CaGdN
1.0
6.138 0.000 0.000
0.000 3.595 0.000
0.000 -1.797 3.113
Gd N Ca
1 1 1
Cartesian
0.771 0.000 0.000 Gd
1.889 0.000 2.076 N
3.478 1.797 1.038 Ca
```



<B>
Material: CaGdN
Method: DFT, PBE-GGA
State: relaxed

**N(E_F)**: 2.16 states/eV per cell
**Size of the total moment**: 7.06 μB per formula unit

Structure (POSCAR):
```
CaGdN
1.0
-1.688 3.728 -1.234
0.107 1.135 -4.119
-3.605 0.058 -2.295
Ca Gd N
1 1 1
Cartesian
0.000 0.000 0.000 Ca
-2.593 2.460 -3.824 Gd
-1.296 1.230 -1.912 N
```



<A> (569 meV per atom below the next structure)